Density functional theory data (PBE) for a relaxed structure of SrTa2Au.

crystal system = cubic
energy of formation from the pure elements = 1.0082 eV/atom
energy above the lowest structure with this stoichiometry = 0.788 eV/atom
raw total energy = -24.63 eV/cell

abc: 4.8566 4.8566 4.8566
angles: 60.00 60.00 60.00
Sites, in units of the cell vectors:
Sr: 0.0000 0.0000 0.0000
Au: 0.5000 0.5000 0.5000
Ta: 0.2500 0.2500 0.2500
Ta: 0.7500 0.7500 0.7500


Density functional theory data (PBE) for a relaxed structure of ZrGaAg3.

crystal system = cubic
energy of formation from the pure elements = 0.5004 eV/atom
energy above the lowest structure with this stoichiometry = 0.000 eV/atom
raw total energy = -17.63 eV/cell

abc: 4.7640 4.7640 4.7640
angles: 90.00 90.00 90.00
Each line ends with the local moment (μB).
Sites, in units of the cell vectors:
Ga: 0.0000 0.0000 0.0000  -0.03
Zr: 0.5000 0.5000 0.5000  0.58
Ag: 0.0000 0.5000 0.0000  0.00
Ag: 0.0000 0.0000 0.5000  0.01
Ag: 0.5000 0.0000 0.0000  0.01


Density functional theory data (PBE) for a relaxed structure of ZrIn2W.

crystal system = orthorhombic
energy of formation from the pure elements = 0.2225 eV/atom
energy above the lowest structure with this stoichiometry = 0.014 eV/atom
raw total energy = -26.09 eV/cell

abc: 2.9634 4.5145 5.9996
angles: 90.00 90.00 90.00
Sites, in units of the cell vectors:
In: 0.0000 0.0000 0.0107
In: 0.0000 0.0000 0.4893
W: 0.5000 0.5000 0.2500
Zr: 0.5000 0.5000 0.7500


Density functional theory data (PBE) for a relaxed structure of Cu2RhPb2.

crystal system = tetragonal
energy of formation from the pure elements = 0.4104 eV/atom
energy above the lowest structure with this stoichiometry = 0.161 eV/atom
raw total energy = -20.91 eV/cell

abc: 5.2673 5.2673 5.2460
angles: 59.87 59.87 90.00
Sites, in units of the cell vectors:
Pb: 0.7500 0.2500 0.5000
Pb: 0.2500 0.7500 0.5000
Rh: 0.0000 0.0000 0.0000
Cu: 0.3447 0.3447 0.3105
Cu: 0.6553 0.6553 0.6895


Density functional theory data (PBE) for a relaxed structure of ZrSn2As.

crystal system = tetragonal
energy of formation from the pure elements = 0.0230 eV/atom
raw total energy = -42.22 eV/cell

abc: 8.1287 8.1287 6.4500
angles: 50.94 50.94 90.00
Sites, in units of the cell vectors:
As: 0.5000 0.5000 0.0000
As: 0.2500 0.7500 0.5000
Sn: 0.6113 0.1250 0.2500
Sn: 0.1387 0.6250 0.2500
Sn: 0.3750 0.3887 0.7500
Sn: 0.8750 0.8613 0.7500
Zr: 0.0000 0.0000 0.0000
Zr: 0.7500 0.2500 0.5000


Density functional theory data (PBE) for a relaxed structure of SrInS3.

crystal system = cubic
energy above the lowest structure with this stoichiometry = 0.000 eV/atom
energy relative to the elements, uncorrected = -722 meV per atom
raw total energy = -20.41 eV/cell

abc: 5.0485 5.0485 5.0485
angles: 90.00 90.00 90.00
Sites, in units of the cell vectors:
Sr: 0.5000 0.5000 0.5000
S: 0.0000 0.5000 0.0000
S: 0.0000 0.0000 0.5000
S: 0.5000 0.0000 0.0000
In: 0.0000 0.0000 0.0000


Density functional theory data (PBE) for a relaxed structure of CaLaIn.

crystal system = triclinic
energy of formation from the pure elements = -0.3047 eV/atom
energy above the lowest structure with this stoichiometry = 0.140 eV/atom
raw total energy = -21.16 eV/cell

abc: 3.9866 9.0945 5.5056
angles: 90.01 90.00 102.66
Sites, in units of the cell vectors:
Ca: 0.6686 0.8327 0.9549
Ca: 0.8186 0.1345 0.4541
La: 0.9729 0.4401 0.9542
La: 0.5141 0.5272 0.4542
In: 0.1642 0.8259 0.4552
In: 0.3229 0.1413 0.9540


Density functional theory data (PBE) for a relaxed structure of AcLa6DyY2.

crystal system = monoclinic
energy of formation from the pure elements = 0.1105 eV/atom
raw total energy = -100.20 eV/cell

abc: 9.8726 9.1290 9.1290
angles: 116.33 93.28 93.28
Sites, in units of the cell vectors:
Ac: 0.2500 0.9671 0.0329
Ac: 0.7500 0.0329 0.9671
La: 0.0558 0.1114 0.7566
La: 0.4442 0.2434 0.8886
La: 0.9442 0.8886 0.2434
La: 0.5558 0.7566 0.1114
La: 0.3146 0.9991 0.4505
La: 0.1854 0.5495 0.0009
La: 0.6854 0.0009 0.5495
La: 0.8146 0.4505 0.9991
La: 0.1202 0.7046 0.4805
La: 0.3798 0.5195 0.2954
La: 0.8798 0.2954 0.5195
La: 0.6202 0.4805 0.7046
Dy: 0.2500 0.4111 0.5889
Dy: 0.7500 0.5889 0.4111
Y: 0.4506 0.7927 0.6974
Y: 0.0494 0.3026 0.2073
Y: 0.5494 0.2073 0.3026
Y: 0.9506 0.6974 0.7927


Density functional theory data (PBE) for a relaxed structure of DyCo5B2.

crystal system = orthorhombic
energy of formation from the pure elements = -0.2770 eV/atom
raw total energy = -55.70 eV/cell

abc: 3.4126 5.4956 5.4956
angles: 68.87 71.91 71.91
Each line ends with the local moment (μB).
Sites, in units of the cell vectors:
Dy: 0.0000 0.0000 0.0000  -0.15
Co: 0.0000 0.5000 0.5000  0.62
Co: 0.6580 0.5307 0.1534  0.85
Co: 0.3420 0.4693 0.8466  0.85
Co: 0.3420 0.8466 0.4693  0.85
Co: 0.6580 0.1534 0.5307  0.85
B: 0.7623 0.7377 0.7377  -0.06
B: 0.2377 0.2623 0.2623  -0.06


Density functional theory data (PBE) for a relaxed structure of MnTcPt4.

crystal system = cubic
energy of formation from the pure elements = 0.1511 eV/atom
raw total energy = -42.79 eV/cell

abc: 5.2300 5.2300 5.2300
angles: 60.00 60.00 60.00
Each line ends with the local moment (μB).
Sites, in units of the cell vectors:
Mn: 0.0000 0.0000 0.0000  4.05
Tc: 0.7500 0.7500 0.7500  -2.74
Pt: 0.8749 0.3750 0.3750  -0.04
Pt: 0.3750 0.3750 0.8749  -0.04
Pt: 0.3750 0.8749 0.3750  -0.04
Pt: 0.3750 0.3750 0.3750  -0.04


Density functional theory data (PBE) for a relaxed structure of NaGa2SnOs.

crystal system = tetragonal
energy of formation from the pure elements = 0.0047 eV/atom
raw total energy = -22.58 eV/cell

abc: 4.8667 4.8667 5.2115
angles: 90.00 90.00 90.00
Sites, in units of the cell vectors:
Na: 0.5000 0.5000 0.5000
Os: 0.0000 0.0000 0.0000
Sn: 0.0000 0.0000 0.5000
Ga: 0.0000 0.5000 0.0000
Ga: 0.5000 0.0000 0.0000


Density functional theory data (PBE) for a relaxed structure of K3BiAs.

crystal system = cubic
energy of formation from the pure elements = 0.0456 eV/atom
energy above the lowest structure with this stoichiometry = 0.000 eV/atom
raw total energy = -11.59 eV/cell

abc: 6.3278 6.3278 6.3278
angles: 90.00 90.00 90.00
Each line ends with the local moment (μB).
Sites, in units of the cell vectors:
K: 0.0000 0.5000 0.0000  0.02
K: 0.0000 0.0000 0.5000  0.02
K: 0.5000 0.0000 0.0000  0.01
As: 0.0000 0.0000 0.0000  0.47
Bi: 0.5000 0.5000 0.5000  1.02


Density functional theory data (PBE) for a relaxed structure of Na2Hg7Pb3.

crystal system = monoclinic
energy of formation from the pure elements = -0.0584 eV/atom
energy above the lowest structure with this stoichiometry = 0.000 eV/atom
raw total energy = -16.58 eV/cell

abc: 4.8087 4.1379 18.8247
angles: 109.01 90.00 90.00
Sites, in units of the cell vectors:
Na: 0.5000 0.9240 0.2852
Na: 0.5000 0.0760 0.7148
Hg: 0.5000 0.6283 0.4208
Hg: 0.5000 0.3717 0.5792
Hg: 0.0000 0.7376 0.1617
Hg: 0.0000 0.0000 0.0000
Hg: 0.0000 0.2624 0.8383
Hg: 0.5000 0.7760 0.8480
Hg: 0.5000 0.2240 0.1520
Pb: 0.5000 0.5000 0.0000
Pb: 0.0000 0.1368 0.4262
Pb: 0.0000 0.8632 0.5738


Density functional theory data (PBE) for a relaxed structure of NdCuHg.

crystal system = cubic
energy of formation from the pure elements = -0.2022 eV/atom
raw total energy = -9.77 eV/cell

abc: 4.7185 4.7185 4.7185
angles: 60.00 60.00 60.00
Sites, in units of the cell vectors:
Nd: 0.0000 0.0000 0.0000
Hg: 0.5000 0.5000 0.5000
Cu: 0.2500 0.2500 0.2500


Density functional theory data (PBE) for a relaxed structure of NaLa3C2N6.

crystal system = trigonal
energy relative to the elements, uncorrected = -796 meV per atom
raw total energy = -94.06 eV/cell

abc: 5.5549 5.5549 6.2917
angles: 90.00 90.00 120.00
Sites, in units of the cell vectors:
Na: 0.0000 0.0000 0.5000
La: 0.3333 0.6667 0.6664
La: 0.6667 0.3333 0.3336
La: 0.0000 0.0000 0.0000
C: 0.6667 0.3333 0.7489
C: 0.3333 0.6667 0.2511
N: 0.6168 0.8084 0.2664
N: 0.1916 0.3832 0.2664
N: 0.1916 0.8084 0.2664
N: 0.8084 0.6168 0.7336
N: 0.3832 0.1916 0.7336
N: 0.8084 0.1916 0.7336


Density functional theory data (PBE) for a relaxed structure of SrTl2RhPb.

crystal system = tetragonal
energy of formation from the pure elements = -0.1046 eV/atom
energy above the lowest structure with this stoichiometry = 0.000 eV/atom
raw total energy = -18.00 eV/cell

abc: 5.3005 5.3005 5.4268
angles: 90.00 90.00 90.00
Sites, in units of the cell vectors:
Pb: 0.0000 0.0000 0.5000
Sr: 0.5000 0.5000 0.5000
Tl: 0.0000 0.5000 0.0000
Tl: 0.5000 0.0000 0.0000
Rh: 0.0000 0.0000 0.0000


Density functional theory data (PBE) for a relaxed structure of Ac2Sm5Tm6.

crystal system = orthorhombic
energy of formation from the pure elements = 0.1169 eV/atom
raw total energy = -114.24 eV/cell

abc: 3.6395 11.9029 20.4479
angles: 90.00 90.00 90.00
Sites, in units of the cell vectors:
Ac: 0.0000 0.3364 0.2767
Ac: 0.0000 0.6636 0.7233
Ac: 0.0000 0.8364 0.2233
Ac: 0.0000 0.1636 0.7767
Sm: 0.5000 0.2992 0.4474
Sm: 0.5000 0.7008 0.5526
Sm: 0.5000 0.7992 0.0526
Sm: 0.5000 0.2008 0.9474
Sm: 0.5000 0.5968 0.2846
Sm: 0.5000 0.4032 0.7154
Sm: 0.5000 0.0968 0.2154
Sm: 0.5000 0.9032 0.7846
Sm: 0.5000 0.5000 0.0000
Sm: 0.5000 0.0000 0.5000
Tm: 0.0000 0.0711 0.3613
Tm: 0.0000 0.9289 0.6387
Tm: 0.0000 0.5711 0.1387
Tm: 0.0000 0.4289 0.8613
Tm: 0.5000 0.3160 0.1187
Tm: 0.5000 0.6840 0.8813
Tm: 0.5000 0.8160 0.3813
Tm: 0.5000 0.1840 0.6187
Tm: 0.0000 0.5612 0.4262
Tm: 0.0000 0.4388 0.5738
Tm: 0.0000 0.0612 0.0738
Tm: 0.0000 0.9388 0.9262


Density functional theory data (PBE) for a relaxed structure of ScAuSe2.

crystal system = monoclinic
energy relative to the elements, uncorrected = -969 meV per atom
raw total energy = -81.82 eV/cell

abc: 16.7077 3.8854 6.9106
angles: 90.00 115.90 90.00
Sites, in units of the cell vectors:
Sc: 0.3234 0.5060 0.0225
Sc: 0.6766 0.4940 0.9775
Sc: 0.1766 0.0060 0.4775
Sc: 0.8234 0.9940 0.5225
Au: 0.6147 0.8037 0.5640
Au: 0.3853 0.1963 0.4360
Au: 0.8853 0.3037 0.9360
Au: 0.1147 0.6963 0.0640
Se: 0.9448 0.4940 0.6803
Se: 0.0552 0.5060 0.3197
Se: 0.5552 0.9940 0.8197
Se: 0.4448 0.0060 0.1803
Se: 0.1926 0.0005 0.8789
Se: 0.8074 0.9995 0.1211
Se: 0.3074 0.5005 0.6211
Se: 0.6926 0.4995 0.3789


Density functional theory data (PBE) for a relaxed structure of Ba2Ru7O18.

crystal system = triclinic
energy relative to the elements, uncorrected = -1282 meV per atom
raw total energy = -192.64 eV/cell

abc: 6.8365 7.2206 7.6710
angles: 93.37 94.41 115.76
Each line ends with the local moment (μB).
Sites, in units of the cell vectors:
Ba: 0.3196 0.6858 0.6187  0.00
Ba: 0.6804 0.3142 0.3813  0.00
Ru: 0.3867 0.2759 0.8840  0.59
Ru: 0.8016 0.1277 0.8158  -0.09
Ru: 0.1984 0.8723 0.1842  -0.09
Ru: 0.6133 0.7241 0.1160  0.59
Ru: 0.0000 0.0000 0.5000  -0.17
Ru: 0.8271 0.6210 0.8030  0.02
Ru: 0.1729 0.3790 0.1970  0.02
O: 0.9216 0.7330 0.5849  -0.01
O: 0.2836 0.1659 0.1116  0.05
O: 0.3237 0.5126 0.9859  0.01
O: 0.4738 0.5540 0.3046  0.04
O: 0.4906 0.9094 0.1672  0.04
O: 0.9053 0.4020 0.7294  -0.01
O: 0.7164 0.8341 0.8884  0.05
O: 0.9169 0.2356 0.0472  0.00
O: 0.6763 0.4874 0.0141  0.01
O: 0.0784 0.2670 0.4151  -0.01
O: 0.0976 0.1340 0.7481  0.03
O: 0.7265 0.0016 0.5735  -0.01
O: 0.0947 0.5980 0.2706  -0.01
O: 0.9024 0.8660 0.2519  0.03
O: 0.0831 0.7644 0.9528  0.00
O: 0.5094 0.0906 0.8328  0.04
O: 0.2735 0.9984 0.4265  -0.01
O: 0.5262 0.4460 0.6954  0.04


Density functional theory data (PBE) for a relaxed structure of NbGaRe3.

crystal system = cubic
energy of formation from the pure elements = 2.3729 eV/atom
energy above the lowest structure with this stoichiometry = 0.814 eV/atom
raw total energy = -38.58 eV/cell

abc: 4.7935 4.7935 4.7935
angles: 90.00 90.00 90.00
Each line ends with the local moment (μB).
Sites, in units of the cell vectors:
Re: 0.0000 0.5000 0.0000  0.84
Re: 0.0000 0.0000 0.5000  0.91
Re: 0.5000 0.0000 0.0000  0.96
Nb: 0.0000 0.0000 0.0000  -0.11
Ga: 0.5000 0.5000 0.5000  0.00